An optimized crystal structure of Ac8Te4Pt3N. Source: the Alexandria database, functional PBE.

Geometry as extended XYZ:
```
16
Lattice="7.724 -4.363 0.000 7.724 4.363 0.000 -5.045 0.000 7.941" Properties=species:S:1:pos:R:3 pbc="T T T"
Ac 4.059 2.355 5.555
Ac 6.343 2.355 2.385
Ac 0.141 0.000 5.692
Ac 2.575 0.000 2.285
Ac 7.827 0.000 5.655
Ac 10.261 0.000 2.249
Ac 4.059 -2.355 5.555
Ac 6.343 -2.355 2.385
Te 0.000 0.000 0.000
Te 3.862 2.181 0.000
Te 3.862 -2.181 0.000
Te 7.724 0.000 0.000
Pt 1.339 2.181 3.970
Pt 1.339 -2.181 3.970
Pt 5.201 0.000 3.970
N -2.523 0.000 3.970
```

Values from the calculation:
energy relative to the elements, uncorrected	-1274	meV/atom
symmetry	No. 12